No. 1
Entry from the Alexandria database: a PBEsol-optimized structure of NbInTc3 (meta-GGA SCAN).

The calculated formation energy comes out at 1.636 eV per atom. Its magnetic moment is 0.628 μB/atom. As for the space-group type: Pm-3m.

Cell: 4.6803 4.6803 4.6803 Å, 90.00 90.00 90.00°
Atoms (fractional coordinates):
Nb: 0.0000 0.0000 0.0000
In: 0.5000 0.5000 0.5000
Tc: 0.0000 0.0000 0.5000
Tc: 0.0000 0.5000 0.0000
Tc: 0.5000 0.0000 0.0000


No. 2
Entry from the Alexandria database: a PBEsol-optimized structure of TiNbIn2Te (meta-GGA SCAN).

Its magnetic moment is 0.636 μB/atom. As for the space-group type: P4/mmm. As for the uncorrected formation energy: 73.4 kJ per mole of atoms.

Cell: 5.1459 5.1459 5.0562 Å, 90.00 90.00 90.00°
Atoms (fractional coordinates):
Ti: 0.0000 0.0000 0.0000
Nb: 0.5000 0.5000 0.5000
In: 0.0000 0.5000 0.0000
In: 0.5000 0.0000 0.0000
Te: 0.0000 0.0000 0.5000


No. 3
Entry from the Alexandria database: a PBEsol-optimized structure of NbTlIn2 (meta-GGA SCAN).

The calculated formation energy comes out at 0.546 eV per atom. Its magnetic moment is 0.731 μB/atom. As for the space-group type: Fm-3m.

Cell: 5.0493 5.0493 5.0493 Å, 60.00 60.00 60.00°
Atoms (fractional coordinates):
Nb: 0.0000 0.0000 0.0000
Tl: 0.5000 0.5000 0.5000
In: 0.2500 0.2500 0.2500
In: 0.7500 0.7500 0.7500


No. 4
Entry from the Alexandria database: a PBEsol-optimized structure of NbZn3In (meta-GGA SCAN).

The calculated formation energy comes out at 1.209 eV per atom. Its magnetic moment is 0.602 μB/atom. As for the space-group type: Pm-3m.

Cell: 4.7344 4.7344 4.7344 Å, 90.00 90.00 90.00°
Atoms (fractional coordinates):
Nb: 0.0000 0.0000 0.0000
Zn: 0.0000 0.5000 0.5000
Zn: 0.5000 0.0000 0.5000
Zn: 0.5000 0.5000 0.0000
In: 0.5000 0.5000 0.5000


No. 5
Entry from the Alexandria database: a PBEsol-optimized structure of Nd3In (meta-GGA SCAN).

The calculated formation energy comes out at -0.383 eV per atom. Its magnetic moment is 0.000 μB/atom. As for the space-group type: P6_3/mmc.

Cell: 7.0284 7.0284 5.4905 Å, 90.00 90.00 120.00°
Atoms (fractional coordinates):
Nd: 0.1760 0.3521 0.2500
Nd: 0.1760 0.8240 0.2500
Nd: 0.3521 0.1760 0.7500
Nd: 0.6479 0.8240 0.2500
Nd: 0.8240 0.1760 0.7500
Nd: 0.8240 0.6479 0.7500
In: 0.3333 0.6667 0.7500
In: 0.6667 0.3333 0.2500


No. 6
Entry from the Alexandria database: a PBEsol-optimized structure of Nd3In5 (meta-GGA SCAN).

The calculated formation energy comes out at -0.694 eV per atom. Its magnetic moment is 0.000 μB/atom. As for the space-group type: Cmcm.

Cell: 6.4707 6.4707 10.3659 Å, 90.00 90.00 78.12°
Atoms (fractional coordinates):
Nd: 0.1268 0.8732 0.7500
Nd: 0.2959 0.2959 0.0000
Nd: 0.2959 0.2959 0.5000
Nd: 0.7041 0.7041 0.0000
Nd: 0.7041 0.7041 0.5000
Nd: 0.8732 0.1268 0.2500
In: 0.0012 0.4251 0.7500
In: 0.1926 0.8074 0.0485
In: 0.1926 0.8074 0.4515
In: 0.4251 0.0012 0.2500
In: 0.4902 0.5098 0.2500
In: 0.5098 0.4902 0.7500
In: 0.5749 0.9988 0.7500
In: 0.8074 0.1926 0.5485
In: 0.8074 0.1926 0.9515
In: 0.9988 0.5749 0.2500


No. 7
Entry from the Alexandria database: a PBEsol-optimized structure of Nd3In (meta-GGA SCAN).

The calculated formation energy comes out at -0.400 eV per atom. Its magnetic moment is 0.252 μB/atom. As for the space-group type: Pm-3m.

Cell: 4.8844 4.8844 4.8844 Å, 90.00 90.00 90.00°
Atoms (fractional coordinates):
Nd: 0.0000 0.0000 0.5000
Nd: 0.0000 0.5000 0.0000
Nd: 0.5000 0.0000 0.0000
In: 0.5000 0.5000 0.5000


No. 8
Entry from the Alexandria database: a PBEsol-optimized structure of Nd11In9Ni4 (meta-GGA SCAN).

The calculated formation energy comes out at -0.609 eV per atom. Its magnetic moment is 0.000 μB/atom. As for the space-group type: Cmmm.

Cell: 13.1480 13.1480 3.7099 Å, 90.00 90.00 112.52°
Atoms (fractional coordinates):
Nd: 0.0000 0.0000 0.0000
Nd: 0.0770 0.4165 0.0000
Nd: 0.1616 0.8384 0.0000
Nd: 0.3130 0.3130 0.0000
Nd: 0.3745 0.6255 0.0000
Nd: 0.4165 0.0770 0.0000
Nd: 0.5835 0.9230 0.0000
Nd: 0.6255 0.3745 0.0000
Nd: 0.6870 0.6870 0.0000
Nd: 0.8384 0.1616 0.0000
Nd: 0.9230 0.5835 0.0000
In: 0.0811 0.2205 0.5000
In: 0.1628 0.6324 0.5000
In: 0.2205 0.0811 0.5000
In: 0.3676 0.8372 0.5000
In: 0.5000 0.5000 0.5000
In: 0.6324 0.1628 0.5000
In: 0.7795 0.9189 0.5000
In: 0.8372 0.3676 0.5000
In: 0.9189 0.7795 0.5000
Ni: 0.2460 0.4485 0.5000
Ni: 0.4485 0.2460 0.5000
Ni: 0.5515 0.7540 0.5000
Ni: 0.7540 0.5515 0.5000